Compound: CsKSBr
Source: the Alexandria database
Functional: PBE-GGA
Structure: optimized geometry

POSCAR file:
```
CsKSBr
1.0
5.902 0.000 0.000
2.951 5.111 0.000
2.951 1.704 4.819
Cs K S Br
1 1 1 1
Cartesian
5.902 3.407 2.409
0.000 0.000 0.000
2.951 1.704 1.205
8.853 5.111 3.614
```

Computed properties:
Crystal system: cubic
Fermi-level density of states (states/eV per atom): 2.03

=====

Compound: CsK2SbBr6
Source: the Alexandria database
Functional: PBE-GGA
Structure: optimized geometry

POSCAR file:
```
CsK2SbBr6
1.0
-1.445 1.031 -8.095
-0.333 -6.585 -5.021
-7.760 -2.411 -3.164
Cs K Sb Br
1 2 1 6
Cartesian
-5.873 -5.874 -12.425
-4.168 -3.936 -8.241
-7.550 -2.394 -3.199
-0.742 -1.863 -4.347
-2.693 -1.530 -6.447
-2.469 -6.724 -7.521
-3.398 -3.245 -11.420
-6.833 -5.973 -9.020
-7.084 -2.176 -8.751
-6.395 -4.267 -5.635
```

Computed properties:
Crystal system: trigonal
Fermi-level density of states (states/eV per atom): 0.00

=====

Compound: Cs4KSc3Br12
Source: the Alexandria database
Functional: PBE-GGA
Structure: optimized geometry

POSCAR file:
```
Cs4KSc3Br12
1.0
9.814 0.000 0.000
-3.271 9.253 0.000
-3.271 -4.627 8.013
Cs K Sc Br
4 1 3 12
Cartesian
1.636 2.313 4.007
-1.636 -2.313 4.007
4.907 0.000 0.000
-1.636 4.627 0.000
0.000 0.000 0.000
3.271 -2.313 4.007
3.271 4.627 0.000
-3.271 2.313 4.007
-1.636 1.157 6.010
4.784 -3.383 5.859
1.759 -1.244 2.154
4.907 3.470 2.003
4.784 6.765 0.000
1.759 2.488 0.000
4.907 0.000 4.007
-1.636 4.627 4.007
1.636 -1.157 6.010
-4.784 3.383 5.859
1.636 5.783 2.003
-1.759 1.244 2.154
```

Computed properties:
Crystal system: cubic
Fermi-level density of states (states/eV per atom): 0.47

=====

Compound: CsKSc2Br8
Source: the Alexandria database
Functional: PBE-GGA
Structure: optimized geometry

POSCAR file:
```
CsKSc2Br8
1.0
7.506 0.000 0.000
3.753 6.501 0.000
3.753 2.167 10.304
Cs K Sc Br
1 1 2 8
Cartesian
7.506 4.334 5.152
0.000 0.000 0.000
3.753 2.167 2.698
11.260 6.501 7.606
3.753 2.167 5.186
6.126 2.438 1.935
11.260 6.501 5.118
9.838 4.087 1.935
5.174 4.581 8.369
6.554 6.477 1.935
8.458 2.191 8.369
8.886 6.230 8.369
```

Computed properties:
Crystal system: trigonal
Fermi-level density of states (states/eV per atom): 0.00

=====

Compound: Cs3KSc2Br9
Source: the Alexandria database
Functional: PBE-GGA
Structure: optimized geometry

POSCAR file:
```
Cs3KSc2Br9
1.0
8.004 0.000 0.000
-4.002 6.932 0.000
0.000 0.000 10.096
Cs K Sc Br
3 1 2 9
Cartesian
0.000 4.621 6.717
0.000 0.000 0.000
4.002 2.311 3.379
0.000 0.000 5.048
0.000 4.621 1.557
4.002 2.311 8.539
5.886 1.223 7.016
4.002 4.486 7.016
2.119 1.223 7.016
1.884 5.709 3.080
0.000 2.446 3.080
-1.884 5.709 3.080
4.002 0.000 0.000
-2.001 3.466 0.000
2.001 3.466 0.000
```

Computed properties:
Crystal system: trigonal
Fermi-level density of states (states/eV per atom): 0.39

=====

Compound: Cs2KScBr6
Source: the Alexandria database
Functional: PBE-GGA
Structure: optimized geometry

POSCAR file:
```
Cs2KScBr6
1.0
-0.299 -2.751 -7.765
6.859 -0.203 -4.567
3.444 -7.232 -1.946
Cs Sc K Br
2 1 1 6
Cartesian
7.503 -7.639 -10.708
2.501 -2.546 -3.569
0.000 0.000 0.000
5.002 -5.093 -7.139
4.156 -6.254 -4.319
7.880 -6.364 -6.799
3.993 -7.748 -8.535
2.123 -3.821 -7.479
6.010 -2.437 -5.742
5.848 -3.931 -9.959
```

Computed properties:
Crystal system: cubic
Fermi-level density of states (states/eV per atom): 0.00

=====

Compound: CsKScBr2
Source: the Alexandria database
Functional: PBE-GGA
Structure: optimized geometry

POSCAR file:
```
CsKScBr2
1.0
-2.522 2.630 -4.233
-1.205 -6.161 -3.110
-4.890 -0.392 2.670
Cs Sc K Br
1 1 1 2
Cartesian
-4.308 -1.962 -2.336
0.000 0.000 0.000
-0.602 -3.081 -1.555
-2.445 -0.196 1.335
-1.261 1.315 -2.116
```

Computed properties:
Crystal system: tetragonal
Fermi-level density of states (states/eV per atom): 0.51

=====

Compound: CsK2SeBr
Source: the Alexandria database
Functional: PBE-GGA
Structure: optimized geometry

POSCAR file:
```
CsK2SeBr
1.0
-4.893 1.683 3.365
-3.578 -0.374 -5.016
-1.316 -6.702 1.438
Cs K Se Br
1 2 1 1
Cartesian
-0.658 -3.351 0.719
-1.789 -0.187 -2.508
-2.447 0.842 1.683
0.000 0.000 0.000
-4.894 -2.696 -0.106
```

Computed properties:
Crystal system: tetragonal

=====

Compound: Cs2KSeBr
Source: the Alexandria database
Functional: PBE-GGA
Structure: optimized geometry

POSCAR file:
```
Cs2KSeBr
1.0
-5.282 4.005 1.995
0.670 -2.343 6.479
3.929 4.563 1.243
Cs K Se Br
2 1 1 1
Cartesian
0.335 -1.172 3.240
-2.641 2.002 0.998
1.964 2.281 0.622
0.000 0.000 0.000
-0.341 3.112 4.859
```

Computed properties:
Crystal system: tetragonal

=====

Compound: CsK2SnBr5
Source: the Alexandria database
Functional: PBE-GGA
Structure: optimized geometry

POSCAR file:
```
CsK2SnBr5
1.0
-1.024 -4.322 2.313
11.092 -0.362 -1.190
1.484 6.065 11.988
Cs K Sn Br
2 4 2 10
Cartesian
6.119 -0.521 7.154
4.697 -1.108 0.007
8.503 0.740 10.566
3.417 3.591 8.221
3.159 1.088 3.431
7.947 -2.982 3.365
1.411 3.515 12.613
10.752 0.361 5.432
8.159 -1.873 0.112
3.767 2.317 11.417
11.264 2.200 9.094
6.890 2.896 8.459
9.703 -1.025 7.800
2.685 0.359 7.280
8.102 0.357 4.252
0.322 -0.683 4.287
4.535 -2.035 3.625
1.276 0.059 0.675
```

Computed properties:
Crystal system: orthorhombic
Fermi-level density of states (states/eV per atom): 0.00

=====

Compound: Cs4K3SnBr8
Source: the Alexandria database
Functional: PBE-GGA
Structure: optimized geometry

POSCAR file:
```
Cs4K3SnBr8
1.0
9.669 0.000 0.000
0.000 9.849 -0.217
-4.834 -5.075 7.521
Cs K Sn Br
4 3 1 8
Cartesian
4.834 0.000 0.000
2.417 -2.538 3.761
0.000 0.000 0.000
-2.417 -2.538 3.761
4.834 4.925 -0.109
2.417 2.387 3.652
-2.417 2.387 3.652
0.000 4.925 -0.109
-2.550 1.998 7.223
0.000 4.632 3.898
0.000 0.097 3.789
2.550 1.998 7.223
2.285 2.776 0.080
4.834 4.677 3.514
4.834 0.142 3.405
7.384 2.776 0.080
```

Computed properties:
Crystal system: monoclinic

=====

Compound: Cs4KSn3Br12
Source: the Alexandria database
Functional: PBE-GGA
Structure: optimized geometry

POSCAR file:
```
Cs4KSn3Br12
1.0
-2.958 4.095 -8.868
-7.787 -5.136 4.141
2.947 7.419 6.359
Cs K Sn Br
4 1 3 12
Cartesian
-3.899 3.189 0.816
1.474 3.710 3.179
-1.479 2.048 -4.434
-3.894 -2.568 2.071
0.000 0.000 0.000
-0.005 5.757 -1.255
-5.373 -0.520 -2.363
-2.420 1.142 5.250
-2.423 4.020 4.623
-0.008 8.503 -1.853
-0.003 3.012 -0.656
-5.375 2.359 -2.991
-7.935 -0.768 -3.490
-2.810 -0.272 -1.236
-2.692 5.497 -2.436
-5.106 0.882 4.068
-1.215 6.328 1.370
-3.574 1.686 7.754
-6.583 0.051 0.262
-1.266 0.597 2.746
```

Computed properties:
Crystal system: cubic
Fermi-level density of states (states/eV per atom): 0.20

=====

Compound: CsKSnBr4
Source: the Alexandria database
Functional: PBE-GGA
Structure: optimized geometry

POSCAR file:
```
CsKSnBr4
1.0
5.844 0.000 0.000
0.000 5.844 0.000
-2.922 -2.922 8.807
Cs K Sn Br
1 1 1 4
Cartesian
2.922 2.922 2.467
0.000 0.000 6.373
0.000 0.000 0.003
2.922 0.000 8.671
0.000 2.922 8.671
2.922 2.922 5.949
0.000 0.000 3.093
```

Computed properties:
Crystal system: tetragonal

=====

Compound: CsK2Sn2Br7
Source: the Alexandria database
Functional: PBE-GGA
Structure: optimized geometry

POSCAR file:
```
CsK2Sn2Br7
1.0
-3.120 -3.969 -3.212
5.455 -1.858 -3.003
0.810 -6.025 12.229
Cs K Sn Br
1 2 2 7
Cartesian
0.362 -0.123 -0.200
3.950 -5.838 3.375
-0.510 -6.114 2.476
1.636 -6.985 7.040
1.705 -4.933 -1.135
3.970 -7.949 5.966
2.232 -7.055 0.975
3.094 -2.959 0.652
-1.498 -3.672 0.419
1.234 -4.905 4.862
-0.128 -8.830 5.461
0.846 -2.804 -2.931
```

Computed properties:
Crystal system: orthorhombic
Fermi-level density of states (states/eV per atom): 0.00

=====

Compound: CsK2SnBr8
Source: the Alexandria database
Functional: PBE-GGA
Structure: optimized geometry

POSCAR file:
```
CsK2SnBr8
1.0
7.510 0.069 -0.022
0.009 6.121 0.925
0.028 1.577 9.743
Cs K Sn Br
1 2 1 8
Cartesian
0.014 0.788 4.871
3.749 3.306 8.187
3.799 4.461 2.458
0.000 0.000 0.000
0.014 4.341 2.906
5.652 6.489 9.313
5.607 1.339 1.317
7.534 3.426 7.740
1.896 1.277 1.333
1.940 6.428 9.328
3.777 5.430 5.603
3.771 2.337 5.043
```

Computed properties:
Crystal system: triclinic
Fermi-level density of states (states/eV per atom): 0.12

=====

Compound: Cs2KSn2Br7
Source: the Alexandria database
Functional: PBE-GGA
Structure: optimized geometry

POSCAR file:
```
Cs2KSn2Br7
1.0
-2.901 -0.084 -5.099
-4.704 -2.220 2.713
-8.800 12.597 1.413
Cs K Sn Br
2 1 2 7
Cartesian
-9.384 2.649 -1.442
-7.021 7.644 0.469
0.000 0.000 0.000
-11.607 8.703 -0.300
-4.799 1.590 -0.673
-3.803 -1.152 -1.193
-5.802 4.299 -0.164
-10.604 5.994 -0.809
-6.193 1.402 -3.250
-7.095 0.334 0.656
-9.311 9.959 -1.630
-10.213 8.891 2.277
```

Computed properties:
Crystal system: monoclinic

=====

Compound: CsK2SrBr
Source: the Alexandria database
Functional: PBE-GGA
Structure: optimized geometry

POSCAR file:
```
CsK2SrBr
1.0
7.226 0.000 0.000
0.000 7.226 0.000
0.000 0.000 6.230
Cs Sr K Br
1 1 2 1
Cartesian
3.613 3.613 3.115
0.000 0.000 3.115
0.000 3.613 0.000
3.613 0.000 0.000
0.000 0.000 0.000
```

Computed properties:
Distance to the lowest polymorph of the same formula (meV per atom): 13
Crystal system: tetragonal
Fermi-level density of states (states/eV per atom): 0.84

=====

Compound: Cs2KSrBr6
Source: the Alexandria database
Functional: PBE-GGA
Structure: optimized geometry

POSCAR file:
```
Cs2KSrBr6
1.0
-2.305 1.668 -8.218
8.146 -1.577 -2.605
1.513 -5.886 -6.220
Cs Sr K Br
2 1 1 6
Cartesian
1.064 -2.087 -9.925
6.290 -3.709 -7.119
0.000 0.000 0.000
2.920 0.045 -5.411
2.199 -2.995 -5.826
5.154 -2.801 -11.217
1.423 0.022 -2.638
4.417 0.069 -8.185
0.242 0.877 -6.850
5.598 -0.786 -3.973
```

Computed properties:
Crystal system: cubic
Fermi-level density of states (states/eV per atom): 1.76

=====

Compound: Cs2KSrBr
Source: the Alexandria database
Functional: PBE-GGA
Structure: optimized geometry

POSCAR file:
```
Cs2KSrBr
1.0
-4.966 2.969 -4.362
2.560 -3.883 -5.557
-4.270 -4.950 1.492
Cs Sr K Br
2 1 1 1
Cartesian
1.280 -1.941 -2.778
-2.483 1.484 -2.181
-3.338 -2.932 -4.214
-2.135 -2.475 0.746
0.000 0.000 0.000
```

Computed properties:
Distance to the lowest polymorph of the same formula (meV per atom): 25
Crystal system: tetragonal
Fermi-level density of states (states/eV per atom): 0.97

=====

Compound: CsK2SrBr
Source: the Alexandria database
Functional: PBE-GGA
Structure: optimized geometry

POSCAR file:
```
CsK2SrBr
1.0
6.695 0.000 0.000
0.000 6.695 0.000
0.000 0.000 7.151
Cs Sr K Br
1 1 2 1
Cartesian
0.000 0.000 3.575
3.347 3.347 3.575
0.000 3.347 0.000
3.347 0.000 0.000
0.000 0.000 0.000
```

Computed properties:
Distance to the lowest polymorph of the same formula (meV per atom): 0
Crystal system: tetragonal
Fermi-level density of states (states/eV per atom): 0.98

=====

Computed ΔE_f (raw) (eV per atom) in order:
-0.973 -1.313 -1.683 -1.706 -1.722 -1.789 -0.657 -1.195 -1.190 -1.390 -1.523 -1.275 -1.332 -1.271 -1.153 -1.277 -0.501 -1.594 -0.530 -0.514
Computed theoretical density (kg/m³) in order:
3244 3111 3798 2976 3696 3477 2863 2310 2614 3290 3311 3826 3370 3331 3683 3577 1933 3113 2228 1962